This record from the Open Quantum Materials Database describes a relaxed structure of Nb5BP3. The functional is PBE-GGA.

```
18
Lattice="7.364 0.000 0.000 -3.682 6.378 0.000 0.000 0.000 5.588" Properties=species:S:1:pos:R:3 pbc="T T T"
B 0.000 0.000 0.000
B 0.000 0.000 2.794
Nb 3.682 2.126 0.000
Nb 0.000 4.252 0.000
Nb 1.784 0.000 1.397
Nb -0.892 1.545 1.397
Nb 2.790 4.833 1.397
Nb 3.682 2.126 2.794
Nb 0.000 4.252 2.794
Nb 5.581 0.000 4.191
Nb 0.892 1.545 4.191
Nb -2.790 4.833 4.191
P 4.424 0.000 1.397
P 1.470 2.547 1.397
P -2.212 3.831 1.397
P 2.941 0.000 4.191
P -1.470 2.547 4.191
P 2.212 3.831 4.191
```

Summary:
symmetry: P6_3/mcm
total DFT energy (no corrections): -8.900 eV per atom


This record from the Open Quantum Materials Database describes a relaxed structure of Re3Si5Au. The functional is PBE-GGA.

```
9
Lattice="5.262 0.000 0.000 -2.631 4.557 0.000 0.000 0.000 6.376" Properties=species:S:1:pos:R:3 pbc="T T T"
Au 0.000 0.000 0.000
Re 2.631 0.000 3.188
Re -1.316 2.279 3.188
Re 1.316 2.279 3.188
Si 2.631 1.519 1.164
Si 0.000 3.038 1.164
Si 0.000 0.000 3.188
Si 2.631 1.519 5.212
Si 0.000 3.038 5.212
```

Summary:
symmetry: P6/mmm
total DFT energy (no corrections): -7.229 eV per atom


This record from the Open Quantum Materials Database describes a relaxed structure of AcHgAsO. The functional is PBE-GGA.

```
8
Lattice="-4.461 -0.673 -1.067 1.886 -4.534 -5.024 -0.296 -4.959 4.365" Properties=species:S:1:pos:R:3 pbc="T T T"
Ac 1.282 -5.495 -1.893
Ac 0.204 -5.739 2.766
As 0.422 -3.400 0.378
As 1.067 -7.784 0.450
Hg -2.088 -3.482 0.854
Hg -0.928 -9.107 -0.449
O -0.815 -6.088 -2.825
O -2.153 -5.704 2.530
```

Summary:
symmetry: Pmc2_1
total DFT energy (no corrections): -4.863 eV per atom


The lowest total DFT energy (no corrections) belongs to which entry?
Nb5BP3


The lowest total DFT energy (no corrections) belongs to which entry?
Nb5BP3